No. 1
# LiSi2Pb, optimized geometry, DFT GGA-PBE
# magnetic moment = 0.00 μB/f.u.
# formation energy from raw total energies = 0.173 eV per atom
data_LiSi2Pb
_chemical_formula_sum 'Li2 Si4 Pb2'
_cell_length_a 7.803
_cell_length_b 3.668
_cell_length_c 5.981
_cell_angle_alpha 90.00
_cell_angle_beta 104.43
_cell_angle_gamma 90.00
_space_group_name_H-M_alt 'C 1 m 1'
_space_group_IT_number 8
loop_
_space_group_symop_operation_xyz
'x,y,z'
'x,-y,z'
'x+1/2,y+1/2,z'
'x+1/2,-y+1/2,z'
loop_
_atom_site_label
_atom_site_type_symbol
_atom_site_fract_x
_atom_site_fract_y
_atom_site_fract_z
_atom_site_occupancy
Li1 Li 0.000 0.000 0.000 1
Si1 Si 0.242 0.500 0.224 1
Si2 Si 0.444 0.000 0.322 1
Pb1 Pb 0.227 0.000 0.654 1

No. 2
# LiSi2Pb, optimized geometry, DFT GGA-PBE
# magnetic moment = 0.00 μB/f.u.
# formation energy from raw total energies = 0.315 eV per atom
data_LiSi2Pb
_chemical_formula_sum 'Li2 Si4 Pb2'
_cell_length_a 4.327
_cell_length_b 4.327
_cell_length_c 8.409
_cell_angle_alpha 90.00
_cell_angle_beta 90.00
_cell_angle_gamma 90.00
_space_group_name_H-M_alt 'I -4 m 2'
_space_group_IT_number 119
_space_group_name_Hall 'I -4 -2'
loop_
_atom_site_label
_atom_site_type_symbol
_atom_site_fract_x
_atom_site_fract_y
_atom_site_fract_z
_atom_site_occupancy
Li1 Li 0.000 0.000 0.000 1
Si1 Si 0.000 0.000 0.500 1
Si2 Si 0.000 0.500 0.250 1
Pb1 Pb 0.000 0.500 0.750 1

No. 3
# LiSi2Pb, optimized geometry, DFT GGA-PBE
# magnetic moment = 0.00 μB/f.u.
# formation energy from raw total energies = 0.220 eV per atom
data_LiSi2Pb
_chemical_formula_sum 'Li1 Si2 Pb1'
_cell_length_a 3.098
_cell_length_b 4.647
_cell_length_c 6.040
_cell_angle_alpha 90.00
_cell_angle_beta 103.59
_cell_angle_gamma 90.00
_space_group_name_H-M_alt 'P 1 2/m 1'
_space_group_IT_number 10
loop_
_space_group_symop_operation_xyz
'x,y,z'
'-x,-y,-z'
'-x,y,-z'
'x,-y,z'
loop_
_atom_site_label
_atom_site_type_symbol
_atom_site_fract_x
_atom_site_fract_y
_atom_site_fract_z
_atom_site_occupancy
Li1 Li 0.000 0.000 0.000 1
Si1 Si 0.344 0.500 0.163 1
Pb1 Pb 0.500 0.000 0.500 1

No. 4
# LiSi2Pb, optimized geometry, DFT GGA-PBE
# magnetic moment = 0.00 μB/f.u.
# formation energy from raw total energies = 0.438 eV per atom
data_LiSi2Pb
_chemical_formula_sum 'Li3 Si6 Pb3'
_cell_length_a 3.0378
_cell_length_b 3.0378
_cell_length_c 30.5374
_cell_angle_alpha 90.00
_cell_angle_beta 90.00
_cell_angle_gamma 120.00
_space_group_name_H-M_alt 'R -3 m'
_space_group_IT_number 166
_space_group_name_Hall '-R 3 2"'
loop_
_atom_site_label
_atom_site_type_symbol
_atom_site_fract_x
_atom_site_fract_y
_atom_site_fract_z
_atom_site_occupancy
Li1 Li 0.0000 0.0000 0.0000 1
Si1 Si 0.0000 0.0000 0.2625 1
Pb1 Pb 0.0000 0.0000 0.5000 1